Model w:
Below is a relaxed structure of AgBr5, with properties calculated at the PBE-GGA level.

Calculated values
**SG**: P-62m
**D(E_F)**: 10.21 states/eV per cell
**Volume**: 172.77 Å³/f.u.

Structure (extended XYZ):
```
6
Lattice="3.560 -6.166 0.000 3.560 6.166 0.000 0.000 0.000 3.935" Properties=species:S:1:pos:R:3 pbc="T T T"
Ag 0.000 0.000 1.968
Br 1.990 0.000 0.000
Br 3.560 -2.055 1.968
Br 2.565 -4.443 0.000
Br 3.560 2.055 1.968
Br 2.565 4.443 0.000
```

Model x:
Below is a relaxed structure of AgBr5, with properties calculated at the PBE-GGA level.

Calculated values
**SG**: Cmmm
**D(E_F)**: 2.22 states/eV per cell
**Volume**: 204.81 Å³/f.u.

Structure (extended XYZ):
```
6
Lattice="-2.767 -1.821 -2.266 1.399 -3.588 1.175 -8.754 1.859 9.198" Properties=species:S:1:pos:R:3 pbc="T T T"
Br -0.684 -2.704 -0.545
Br -5.395 0.044 6.555
Br -6.079 -2.661 6.009
Br -1.960 -1.773 3.819
Br -4.043 -0.889 2.098
Ag 0.000 0.000 0.000
```

Tell me which of them is the least stable. Sure, it is model w.

Model w:
Below is a relaxed structure of Ag4Br5, with properties calculated at the PBE-GGA level.

Calculated values
**SG**: P6_3/mcm
**D(E_F)**: 3.26 states/eV per cell
**Volume**: 222.35 Å³/f.u.

Structure (extended XYZ):
```
18
Lattice="-3.345 -7.341 -4.912 7.523 -1.101 5.603 -3.468 -1.357 4.390" Properties=species:S:1:pos:R:3 pbc="T T T"
Ag 2.284 -1.733 6.930
Ag -1.734 -0.679 2.195
Ag 0.000 0.000 0.000
Ag -2.040 -2.913 -0.625
Ag -1.136 -3.978 3.534
Ag -4.773 -5.785 0.103
Ag 1.771 -0.725 3.062
Ag 1.846 -5.821 1.546
Br -1.456 -5.940 0.788
Br -3.304 -5.687 -2.481
Br 0.443 -7.168 3.795
Br 0.267 -2.631 1.285
Br 0.278 -5.261 -1.407
Br -3.509 -3.011 1.959
Br -0.558 -1.317 4.813
Br 2.167 -3.860 4.293
Br 3.901 -3.181 2.098
Br 4.614 -1.142 5.179
```

Model x:
Below is a relaxed structure of Ag4Br5, with properties calculated at the PBE-GGA level.

Calculated values
**SG**: I4/mmm
**D(E_F)**: 5.82 states/eV per cell
**Volume**: 423.87 Å³/f.u.

Structure (extended XYZ):
```
9
Lattice="-2.560 -1.455 1.673 1.122 -10.522 -4.006 5.639 -3.202 9.273" Properties=species:S:1:pos:R:3 pbc="T T T"
Ag 5.175 -11.637 4.655
Ag 4.870 -4.447 7.013
Ag -0.974 -3.542 2.284
Ag 1.890 -9.277 -1.747
Br 0.831 -1.482 3.410
Br 2.248 -3.174 7.536
Br -0.891 -8.262 -1.693
Br -0.547 -3.715 -0.641
Br 0.000 0.000 0.000
```

Model y:
Below is a relaxed structure of Ag4Br5, with properties calculated at the PBE-GGA level.

Calculated values
**SG**: I4/mmm
**D(E_F)**: 5.55 states/eV per cell
**Volume**: 212.65 Å³/f.u.

Structure (extended XYZ):
```
9
Lattice="5.803 -4.880 -1.945 -5.718 2.489 4.732 -5.011 -3.252 -5.058" Properties=species:S:1:pos:R:3 pbc="T T T"
Br -1.878 0.033 2.506
Br 0.000 0.000 0.000
Br -1.614 -2.678 0.171
Br 1.963 -2.424 0.280
Br -3.312 -2.965 -2.443
Ag -3.765 -0.268 -0.115
Ag 0.514 -5.278 -4.546
Ag -6.964 -0.496 -0.212
Ag 0.278 -2.854 -2.458
```

Tell me which of them is the least stable. Sure, it is model y.

Model w:
Below is a relaxed structure of AgC2Br, with properties calculated at the PBE-GGA level.

Calculated values
**SG**: Fm-3m
**D(E_F)**: 3.12 states/eV per cell
**Volume**: 55.21 Å³/f.u.

Structure (extended XYZ):
```
4
Lattice="-2.704 -2.604 -2.044 -3.365 -1.635 2.066 -3.947 1.337 -0.950" Properties=species:S:1:pos:R:3 pbc="T T T"
Br 0.000 0.000 0.000
C -7.512 -2.176 -0.695
C -2.504 -0.725 -0.232
Ag -5.008 -1.451 -0.464
```

Model x:
Below is a relaxed structure of AgC2Br, with properties calculated at the PBE-GGA level.

Calculated values
**SG**: I-42d
**D(E_F)**: 1.85 states/eV per cell
**Volume**: 68.08 Å³/f.u.

Structure (extended XYZ):
```
8
Lattice="-4.955 -0.528 1.178 0.244 -4.972 -1.202 -1.070 -3.873 4.892" Properties=species:S:1:pos:R:3 pbc="T T T"
Ag -4.191 -3.575 3.029
Ag 0.000 0.000 0.000
C -2.576 -4.833 3.692
C -0.601 -4.127 0.587
C -4.919 -7.850 3.615
C -3.467 -1.934 1.840
Br -2.356 -2.750 -0.012
Br -1.591 -5.797 1.839
```

Tell me which of them is the least stable. Sure, it is model w.

Model w:
Below is a relaxed structure of Ag3CBr, with properties calculated at the PBE-GGA level.

Calculated values
**SG**: Pm-3m
**D(E_F)**: 0.76 states/eV per cell
**Volume**: 145.45 Å³/f.u.

Structure (extended XYZ):
```
5
Lattice="5.259 0.000 0.000 0.000 5.259 0.000 0.000 0.000 5.259" Properties=species:S:1:pos:R:3 pbc="T T T"
Ag 0.000 2.630 0.000
Ag 0.000 0.000 2.630
Ag 2.630 0.000 0.000
C 2.630 2.630 2.630
Br 0.000 0.000 0.000
```

Model x:
Below is a relaxed structure of Ag3CBr, with properties calculated at the PBE-GGA level.

Calculated values
**SG**: Pm-3m
**D(E_F)**: 5.56 states/eV per cell
**Volume**: 90.41 Å³/f.u.

Structure (extended XYZ):
```
5
Lattice="-2.963 3.074 1.383 -2.384 -3.213 2.033 2.383 0.608 3.754" Properties=species:S:1:pos:R:3 pbc="T T T"
Ag -1.192 -1.607 1.017
Ag 1.192 0.304 1.877
Ag -1.482 1.537 0.692
C 0.000 0.000 0.000
Br -1.482 0.234 3.586
```

Tell me which of them is the least stable. Sure, it is model w.

Model w:
Below is a relaxed structure of AgCBr3, with properties calculated at the PBE-GGA level.

Calculated values
**SG**: Pm-3m
**D(E_F)**: 1.22 states/eV per cell
**Volume**: 111.81 Å³/f.u.

Structure (extended XYZ):
```
5
Lattice="-0.440 1.066 -4.677 -0.695 -4.662 -0.997 -4.747 0.584 0.579" Properties=species:S:1:pos:R:3 pbc="T T T"
Br -0.220 0.533 -2.339
Br -2.373 0.292 0.290
Br -0.347 -2.331 -0.499
Ag -2.941 -1.506 -2.548
C 0.000 0.000 0.000
```

Model x:
Below is a relaxed structure of AgCBr3, with properties calculated at the PBE-GGA level.

Calculated values
**SG**: Pm-3m
**D(E_F)**: 7.01 states/eV per cell
**Volume**: 146.42 Å³/f.u.

Structure (extended XYZ):
```
5
Lattice="5.271 0.000 0.000 0.000 5.271 0.000 0.000 0.000 5.271" Properties=species:S:1:pos:R:3 pbc="T T T"
Ag 0.000 0.000 0.000
Br 2.635 0.000 0.000
Br 0.000 2.635 0.000
Br 0.000 0.000 2.635
C 2.635 2.635 2.635
```

Tell me which of them is the least stable. Sure, it is model x.

Model w:
Below is a relaxed structure of AgCBrCl2, with properties calculated at the PBE-GGA level.

Calculated values
**SG**: P4/mmm
**D(E_F)**: 0.75 states/eV per cell
**Volume**: 128.97 Å³/f.u.

Structure (extended XYZ):
```
5
Lattice="-4.789 -0.906 -3.117 2.091 0.077 -3.235 0.823 -5.713 0.396" Properties=species:S:1:pos:R:3 pbc="T T T"
Cl 0.411 -2.856 0.198
Cl -2.394 -0.453 -1.558
Br 0.000 0.000 0.000
C 1.046 0.039 -1.618
Ag -0.937 -3.271 -2.978
```

Model x:
Below is a relaxed structure of AgCBrCl2, with properties calculated at the PBE-GGA level.

Calculated values
**SG**: P4/mmm
**D(E_F)**: 8.54 states/eV per cell
**Volume**: 113.40 Å³/f.u.

Structure (extended XYZ):
```
5
Lattice="-0.297 5.255 0.260 -0.107 -0.207 4.076 5.260 0.290 0.153" Properties=species:S:1:pos:R:3 pbc="T T T"
Br 2.428 2.669 2.244
C -0.053 -0.104 2.038
Cl 2.630 0.145 0.076
Cl -0.148 2.628 0.130
Ag 0.000 0.000 0.000
```

Tell me which of them is the least stable. Sure, it is model w.

Model w:
Below is a relaxed structure of CaAg2Br4, with properties calculated at the PBE-GGA level.

Calculated values
**SG**: I4/m
**D(E_F)**: 0.00 states/eV per cell
**Volume**: 229.44 Å³/f.u.

Structure (extended XYZ):
```
7
Lattice="6.677 0.346 0.000 -2.911 6.019 0.000 -1.883 -3.182 5.570" Properties=species:S:1:pos:R:3 pbc="T T T"
Br 0.642 -0.380 2.829
Br -2.359 1.396 4.824
Br 1.241 3.562 2.741
Br 4.242 1.787 0.746
Ca 1.883 3.182 0.000
Ag 3.338 0.173 2.785
Ag -1.456 3.009 2.785
```

Model x:
Below is a relaxed structure of CaAg2Br4, with properties calculated at the PBE-GGA level.

Calculated values
**SG**: I4/mmm
**Volume**: 221.28 Å³/f.u.

Structure (extended XYZ):
```
7
Lattice="5.728 0.000 0.000 0.000 5.728 0.000 -2.864 -2.864 6.744" Properties=species:S:1:pos:R:3 pbc="T T T"
Ca 0.000 0.000 0.000
Ag 0.000 0.000 5.342
Ag 2.864 2.864 1.402
Br 0.000 0.000 2.787
Br 2.864 0.000 0.000
Br 0.000 2.864 0.000
Br 2.864 2.864 3.957
```

Model y:
Below is a relaxed structure of CaAg2Br4, with properties calculated at the PBE-GGA level.

Calculated values
**SG**: P4_122
**D(E_F)**: 0.00 states/eV per cell
**Volume**: 215.68 Å³/f.u.

Structure (extended XYZ):
```
28
Lattice="-2.841 7.388 -3.084 0.151 -3.223 -7.859 -11.264 -3.775 1.331" Properties=species:S:1:pos:R:3 pbc="T T T"
Ag -11.878 -0.172 -7.062
Ag -1.999 -1.061 -6.507
Ag -1.380 2.838 -3.629
Ag -9.127 -2.481 -3.750
Ag -4.892 -0.382 -2.216
Ag -6.942 -0.560 -6.648
Ag -9.138 2.395 -3.437
Ag -4.827 2.871 -5.862
Br -6.250 -3.256 -7.797
Br -7.575 2.067 -5.629
Br -8.319 -5.102 -4.993
Br -11.892 -1.995 0.419
Br -8.532 -3.510 -0.983
Br -11.786 -3.489 -3.343
Br -2.169 3.910 -6.192
Br -2.207 5.488 -2.464
Br -4.249 0.330 -7.107
Br -9.629 -1.553 -6.438
Br -5.499 5.537 -4.635
Br -7.558 0.543 -9.381
Br -6.378 -1.707 -4.058
Br -5.558 3.854 -8.612
Br -4.100 2.019 -3.200
Br -9.930 -0.015 -2.478
Ca -4.906 4.492 -1.937
Ca 0.040 -0.851 -2.076
Ca -9.199 -0.880 0.184
Ca -5.521 -4.259 -5.117
```

Tell me which of them is the least stable. Sure, it is model x.

Model w:
Below is a relaxed structure of CaAg2Br2, with properties calculated at the PBE-GGA level.

Calculated values
**SG**: I4/mmm
**D(E_F)**: 0.00 states/eV per cell
**Volume**: 135.11 Å³/f.u.

Structure (extended XYZ):
```
5
Lattice="4.898 0.000 0.000 0.000 4.898 0.000 2.449 2.449 5.632" Properties=species:S:1:pos:R:3 pbc="T T T"
Ag 4.898 4.898 4.336
Ag 2.449 2.449 1.296
Ca 0.000 0.000 0.000
Br 2.449 4.898 2.816
Br 4.898 2.449 2.816
```

Model x:
Below is a relaxed structure of CaAg2Br2, with properties calculated at the PBE-GGA level.

Calculated values
**SG**: P4/mbm
**D(E_F)**: 1.25 states/eV per cell
**Volume**: 135.51 Å³/f.u.

Structure (extended XYZ):
```
10
Lattice="7.747 0.000 0.000 0.000 7.747 0.000 0.000 0.000 4.516" Properties=species:S:1:pos:R:3 pbc="T T T"
Br 1.717 5.591 2.258
Br 2.156 1.717 2.258
Br 5.591 6.030 2.258
Br 6.030 2.156 2.258
Ca 3.873 3.873 0.000
Ca 0.000 0.000 0.000
Ag 6.824 4.796 0.000
Ag 2.950 6.824 0.000
Ag 4.796 0.923 0.000
Ag 0.923 2.950 0.000
```

Tell me which of them is the least stable. Sure, it is model x.

Model w:
Below is a relaxed structure of CaAgSeBr2, with properties calculated at the PBE-GGA level.

Calculated values
**SG**: P4/mmm
**D(E_F)**: 2.29 states/eV per cell
**Volume**: 144.40 Å³/f.u.

Structure (extended XYZ):
```
5
Lattice="5.203 0.000 0.000 0.000 5.203 0.000 0.000 0.000 5.334" Properties=species:S:1:pos:R:3 pbc="T T T"
Br 2.601 0.000 0.000
Br 0.000 2.601 0.000
Se 0.000 0.000 2.667
Ag 0.000 0.000 0.000
Ca 2.601 2.601 2.667
```

Model x:
Below is a relaxed structure of CaAgSeBr2, with properties calculated at the PBE-GGA level.

Calculated values
**SG**: P4/mmm
**D(E_F)**: 4.18 states/eV per cell
**Volume**: 176.87 Å³/f.u.

Structure (extended XYZ):
```
5
Lattice="5.562 0.000 0.000 0.000 5.562 0.000 0.000 0.000 5.718" Properties=species:S:1:pos:R:3 pbc="T T T"
Br 2.781 0.000 0.000
Br 0.000 2.781 0.000
Se 0.000 0.000 2.859
Ag 2.781 2.781 2.859
Ca 0.000 0.000 0.000
```

Tell me which of them is the least stable. Sure, it is model x.

Model w:
Below is a relaxed structure of CaAgSe2Br, with properties calculated at the PBE-GGA level.

Calculated values
**SG**: P4/mmm
**D(E_F)**: 2.20 states/eV per cell
**Volume**: 138.64 Å³/f.u.

Structure (extended XYZ):
```
5
Lattice="5.102 0.000 0.000 0.000 5.102 0.000 0.000 0.000 5.327" Properties=species:S:1:pos:R:3 pbc="T T T"
Se 2.551 0.000 0.000
Se 0.000 2.551 0.000
Ag 0.000 0.000 0.000
Ca 2.551 2.551 2.663
Br 0.000 0.000 2.663
```

Model x:
Below is a relaxed structure of CaAgSe2Br, with properties calculated at the PBE-GGA level.

Calculated values
**SG**: P4/mmm
**D(E_F)**: 4.49 states/eV per cell
**Volume**: 172.41 Å³/f.u.

Structure (extended XYZ):
```
5
Lattice="-4.312 -2.489 2.510 2.999 -0.479 4.676 -1.862 4.940 1.700" Properties=species:S:1:pos:R:3 pbc="T T T"
Se -2.156 -1.244 1.255
Se 1.500 -0.239 2.338
Ag -1.587 0.986 4.443
Br -0.931 2.470 0.850
Ca 0.000 0.000 0.000
```

Tell me which of them is the least stable. Sure, it is model x.

Model w:
Below is a relaxed structure of CdAgBr2, with properties calculated at the PBE-GGA level.

Calculated values
**SG**: Pm
**D(E_F)**: 1.19 states/eV per cell
**Volume**: 107.53 Å³/f.u.

Structure (extended XYZ):
```
4
Lattice="-1.483 0.484 3.452 -4.847 -2.206 -1.772 -0.509 -5.568 0.563" Properties=species:S:1:pos:R:3 pbc="T T T"
Cd -2.742 -3.969 -0.621
Br -2.322 -2.057 1.370
Br -5.102 -7.408 -1.152
Ag -4.705 -5.518 0.832
```

Model x:
Below is a relaxed structure of CdAgBr2, with properties calculated at the PBE-GGA level.

Calculated values
**SG**: Fm-3m
**D(E_F)**: 1.97 states/eV per cell
**Volume**: 99.36 Å³/f.u.

Structure (extended XYZ):
```
4
Lattice="0.000 3.676 3.676 3.676 0.000 3.676 3.676 3.676 0.000" Properties=species:S:1:pos:R:3 pbc="T T T"
Ag 0.000 0.000 0.000
Cd 3.676 3.676 3.676
Br 5.514 5.514 5.514
Br 1.838 1.838 1.838
```

Model y:
Below is a relaxed structure of CdAgBr2, with properties calculated at the PBE-GGA level.

Calculated values
**SG**: R-3m
**D(E_F)**: 0.65 states/eV per cell
**Volume**: 128.25 Å³/f.u.

Structure (extended XYZ):
```
4
Lattice="-9.451 3.852 0.829 -7.495 6.228 3.141 -7.569 6.864 -0.654" Properties=species:S:1:pos:R:3 pbc="T T T"
Ag 0.000 0.000 0.000
Br -2.703 1.868 0.366
Br -21.812 15.076 2.950
Cd -12.257 8.472 1.658
```

Tell me which of them is the least stable. Sure, it is model x.